# SrLiPbCl5 PBE optimized geometry
data_SrLiPbCl5
_chemical_formula_sum 'Sr2 Li2 Pb2 Cl10'
_cell_length_a 7.4543
_cell_length_b 7.4543
_cell_length_c 10.0105
_cell_angle_alpha 103.02
_cell_angle_beta 103.02
_cell_angle_gamma 107.09
_space_group_name_H-M_alt 'P 1'
_space_group_IT_number 1
_space_group_name_Hall 'P 1'
loop_
_atom_site_label
_atom_site_fract_x
_atom_site_fract_y
_atom_site_fract_z
Sr1 0.0000 0.0000 0.5000
Sr2 0.0000 0.0000 0.0000
Li1 0.6850 0.3150 0.2500
Li2 0.3150 0.6850 0.7500
Pb1 0.3697 0.6303 0.2500
Pb2 0.6303 0.3697 0.7500
Cl1 0.1209 0.8791 0.2500
Cl2 0.8791 0.1209 0.7500
Cl3 0.9698 0.3474 0.1738
Cl4 0.0302 0.6526 0.8262
Cl5 0.6526 0.0302 0.3262
Cl6 0.3474 0.9698 0.6738
Cl7 0.7073 0.5974 0.4341
Cl8 0.2927 0.4026 0.5659
Cl9 0.4026 0.2927 0.0659
Cl10 0.5974 0.7073 0.9341
# DOS(E_F) in states/eV/f.u.: 0.0
# Uncorrected formation energy in eV per atom: -1.76
# Total energy in eV per atom: -3.828
# Space-group type: C2/c, No. 15